A plane-wave DFT calculation with PBE was carried out for a relaxed RbNp4Au3Se12 crystal.

```
20
Lattice="-5.197 5.197 5.197 5.197 -5.197 5.197 5.197 5.197 -5.197" Properties=species:S:1:pos:R:3 pbc="T T T"
Rb 0.000 0.000 0.000
Np 2.599 2.599 -2.599
Np 2.599 -2.599 2.599
Np -2.599 2.599 2.599
Np 2.599 2.599 2.599
Au 5.197 0.000 0.000
Au 0.000 5.197 0.000
Au 0.000 0.000 5.197
Se 5.197 -1.897 3.451
Se 3.300 1.746 0.000
Se 7.094 1.746 0.000
Se 3.451 5.197 -1.897
Se 1.746 0.000 3.300
Se 0.000 3.300 1.746
Se 5.197 1.897 3.451
Se 3.451 5.197 1.897
Se 1.746 0.000 7.094
Se -1.897 3.451 5.197
Se 1.897 3.451 5.197
Se 0.000 7.094 1.746
```

Properties
DOS at the Fermi energy = 44.9 states/eV/f.u.
uncorrected formation energy = -0.6374 eV/atom

=====

A plane-wave DFT calculation with PBE was carried out for a relaxed KTe2Os crystal.

```
4
Lattice="6.271 -1.933 0.000 6.271 1.933 0.000 -2.837 0.000 5.467" Properties=species:S:1:pos:R:3 pbc="T T T"
K 0.000 0.000 0.000
Te 6.344 0.000 3.710
Te 9.217 0.000 1.787
Os 1.658 0.000 2.962
```

Properties
DOS at the Fermi energy = 2.6 states/eV/f.u.
uncorrected formation energy = 0.1097 eV/atom
ΔE to the lowest computed polymorph = 107 kJ/mol of formula units

=====

A plane-wave DFT calculation with PBE was carried out for a relaxed PrNd2Zn2Si2 crystal.

```
7
Lattice="2.071 1.196 11.684 -2.071 1.196 11.684 0.000 -2.392 11.684" Properties=species:S:1:pos:R:3 pbc="T T T"
Pr 0.000 0.000 0.000
Nd 0.000 0.000 4.253
Nd 0.000 0.000 30.798
Zn 0.000 0.000 13.850
Zn 0.000 0.000 21.201
Si 0.000 0.000 9.508
Si 0.000 0.000 25.543
```

Properties
DOS at the Fermi energy = 6.5 states/eV/f.u.
uncorrected formation energy = -0.4730 eV/atom

=====

A plane-wave DFT calculation with PBE was carried out for a relaxed Y2Mg3Zn2 crystal.

```
7
Lattice="5.161 -2.217 0.000 5.161 2.217 0.000 -1.007 0.000 7.114" Properties=species:S:1:pos:R:3 pbc="T T T"
Y 0.961 0.000 2.526
Y 8.355 0.000 4.588
Mg 1.041 0.000 6.134
Mg 5.161 0.000 0.000
Mg 8.274 0.000 0.980
Zn 3.943 0.000 2.504
Zn 5.372 0.000 4.610
```

Properties
formation energy = -0.203 eV per atom
DOS at the Fermi energy = 4.8 states/eV/f.u.

=====

A plane-wave DFT calculation with PBE was carried out for a relaxed NaTb5Au6 crystal.

```
12
Lattice="2.526 -7.676 0.000 2.526 7.676 0.000 0.000 0.000 7.219" Properties=species:S:1:pos:R:3 pbc="T T T"
Na 0.000 0.000 0.000
Tb 0.000 0.000 3.610
Tb 2.526 2.547 3.610
Tb 2.526 2.455 0.000
Tb 2.526 -2.455 0.000
Tb 2.526 -2.547 3.610
Au 2.526 4.982 1.809
Au 2.526 4.982 5.410
Au 2.526 0.000 1.919
Au 2.526 0.000 5.300
Au 2.526 -4.982 1.809
Au 2.526 -4.982 5.410
```

Properties
formation energy = -0.772 eV per atom
DOS at the Fermi energy = 7.3 states/eV/f.u.

=====

A plane-wave DFT calculation with PBE was carried out for a relaxed CaPm2As crystal.

```
4
Lattice="2.029 1.172 9.866 -2.029 1.172 9.866 0.000 -2.343 9.866" Properties=species:S:1:pos:R:3 pbc="T T T"
Ca 0.000 0.000 0.000
Pm 0.000 0.000 6.648
Pm 0.000 0.000 13.105
As 0.000 0.000 24.683
```

Properties
formation energy = -0.638 eV per atom
DOS at the Fermi energy = 5.1 states/eV/f.u.
ΔE to the lowest computed polymorph = 0 kJ/mol of formula units

=====

A plane-wave DFT calculation with PBE was carried out for a relaxed Mo2AsP3 crystal.

```
6
Lattice="5.703 -1.592 0.000 5.703 1.592 0.000 -0.079 0.000 5.094" Properties=species:S:1:pos:R:3 pbc="T T T"
Mo 0.000 0.000 0.000
Mo 2.029 0.000 2.597
As 4.381 0.000 1.564
P 5.936 0.000 3.230
P 7.508 0.000 0.641
P 8.946 0.000 4.135
```

Properties
formation energy = -0.453 eV per atom
DOS at the Fermi energy = 0.6 states/eV/f.u.

=====

A plane-wave DFT calculation with PBE was carried out for a relaxed CrCd3Pt crystal.

```
5
Lattice="5.182 0.000 0.000 0.000 5.182 0.000 0.000 0.000 5.182" Properties=species:S:1:pos:R:3 pbc="T T T"
Cr 0.000 0.000 0.000
Cd 0.000 2.591 2.591
Cd 2.591 0.000 2.591
Cd 2.591 2.591 0.000
Pt 2.591 2.591 2.591
```

Properties
formation energy = 0.459 eV per atom
DOS at the Fermi energy = 2.4 states/eV/f.u.
ΔE to the lowest computed polymorph = 0 kJ/mol of formula units

=====

Calculated V in order - 561.5; 132.6; 173.6; 162.8; 280.0; 140.7; 92.5; 139.1 Å³/cell